YMg2Ru: relaxed, GGA-PBE.

Cell and atoms, written as CIF:
```
data_YMg2Ru
_symmetry_space_group_name_H-M 'I -4 2 d'
_symmetry_Int_Tables_number 122
_symmetry_space_group_name_Hall 'I -4 2bw'
_cell_length_a 4.062
_cell_length_b 4.062
_cell_length_c 21.244
_cell_angle_alpha 90.00
_cell_angle_beta 90.00
_cell_angle_gamma 90.00
loop_
_atom_site_label
_atom_site_type_symbol
_atom_site_fract_x
_atom_site_fract_y
_atom_site_fract_z
Y1 Y 0.000 0.000 0.000
Mg1 Mg 0.220 0.250 0.625
Ru1 Ru 0.000 0.000 0.500
```

Values from the calculation:
Volume = 350 Å³ per cell
Total moment = 0.000 μB per formula unit
Formation energy from the elements = 0.22 eV/atom